## A
# YIrF2

YIrF2 after structural relaxation (PBE, the Alexandria database).

Cell: 7.7547 7.7547 7.7547 Å, 22.34 22.34 22.34°
Last column: nearest neighbours and their distance in Å.
Fractional positions:
Y1 0.0000 0.0000 0.0000  6 F 2.39
Ir1 0.5000 0.5000 0.5000  2 F 2.13
F1 0.4061 0.4061 0.4061  1 Ir 2.13
F2 0.5939 0.5939 0.5939  1 Ir 2.13

Spin magnetization in μB/f.u.: 0.0
Space group: R-3m
D(E_F) in states/eV/atom: 0.441


## B
# YIrF2

YIrF2 after structural relaxation (PBE, the Alexandria database).

Cell: 8.3393 8.3393 8.3393 Å, 152.13 152.13 39.83°
Last column: nearest neighbours and their distance in Å.
Fractional positions:
Y1 0.0000 0.0000 0.0000  4 F 2.41
Y2 0.7500 0.2500 0.5000  4 F 2.41
Ir1 0.2500 0.7500 0.5000  4 F 2.43
Ir2 0.5000 0.5000 0.0000  4 F 2.43
F1 0.1184 0.6250 0.9934  2 Y 2.41, 2 Ir 2.43
F2 0.3750 0.3684 0.4934  2 Y 2.41, 2 Ir 2.43
F3 0.6316 0.1250 0.0066  2 Y 2.41, 2 Ir 2.43
F4 0.8750 0.8816 0.5066  2 Y 2.41, 2 Ir 2.43

Spin magnetization in μB/f.u.: 0.0
Space group: I-42d
D(E_F) in states/eV/atom: 0.382


## C
# YIrF2

YIrF2 after structural relaxation (PBE, the Alexandria database).

Cell: 4.4099 4.4099 4.4099 Å, 60.00 60.00 60.00°
Last column: nearest neighbours and their distance in Å.
Fractional positions:
Y1 0.0000 0.0000 0.0000  8 F 2.70
Ir1 0.5000 0.5000 0.5000  8 F 2.70
F1 0.2500 0.2500 0.2500  4 Ir 2.70, 4 Y 2.70
F2 0.7500 0.7500 0.7500  4 Ir 2.70, 4 Y 2.70

Spin magnetization in μB/f.u.: 2.0
Space group: Fm-3m
D(E_F) in states/eV/atom: 1.258


The energy of each structure relative to the most stable one, in meV per atom, is as follows: A 189; B 0; C 328.


## A
# ZnIrF3

ZnIrF3 after structural relaxation (PBE, the Alexandria database).

Cell: 4.0737 4.0737 4.0737 Å, 90.00 90.00 90.00°
Last column: nearest neighbours and their distance in Å.
Fractional positions:
Zn1 0.0000 0.0000 0.0000  6 F 2.04
Ir1 0.5000 0.5000 0.5000  12 F 2.88
F1 0.0000 0.0000 0.5000  2 Zn 2.04
F2 0.0000 0.5000 0.0000  2 Zn 2.04
F3 0.5000 0.0000 0.0000  2 Zn 2.04

Spin magnetization in μB/f.u.: 2.3
Space group: Pm-3m
D(E_F) in states/eV/atom: 1.074


## B
# ZnIrF3

ZnIrF3 after structural relaxation (PBE, the Alexandria database).

Cell: 4.2218 4.2218 4.2218 Å, 90.00 90.00 90.00°
Last column: nearest neighbours and their distance in Å.
Fractional positions:
Zn1 0.0000 0.0000 0.0000  12 F 2.99
Ir1 0.5000 0.5000 0.5000  6 F 2.11
F1 0.0000 0.5000 0.5000  2 Ir 2.11
F2 0.5000 0.0000 0.5000  2 Ir 2.11
F3 0.5000 0.5000 0.0000  2 Ir 2.11

Spin magnetization in μB/f.u.: 0.6
Space group: Pm-3m
D(E_F) in states/eV/atom: 1.019


The energy of each structure relative to the most stable one, in meV per atom, is as follows: A 0; B 29.


## A
# ZnIrF2

ZnIrF2 after structural relaxation (PBE, the Alexandria database).

Cell: 8.1722 8.1722 8.1722 Å, 18.88 18.88 18.88°
Last column: nearest neighbours and their distance in Å.
Fractional positions:
Zn1 0.0000 0.0000 0.0000  2 F 1.90
Ir1 0.5000 0.5000 0.5000  6 F 2.62, 6 Ir 2.68
F1 0.0790 0.0790 0.0790  1 Zn 1.90
F2 0.9210 0.9210 0.9210  1 Zn 1.90

Spin magnetization in μB/f.u.: 1.5
Space group: R-3m
D(E_F) in states/eV/atom: 0.561


## B
# ZnIrF2

ZnIrF2 after structural relaxation (PBE, the Alexandria database).

Cell: 4.1619 4.1619 4.1619 Å, 60.00 60.00 60.00°
Last column: nearest neighbours and their distance in Å.
Fractional positions:
Zn1 0.0000 0.0000 0.0000  8 F 2.55
Ir1 0.5000 0.5000 0.5000  8 F 2.55
F1 0.2500 0.2500 0.2500  4 Ir 2.55, 4 Zn 2.55
F2 0.7500 0.7500 0.7500  4 Ir 2.55, 4 Zn 2.55

Spin magnetization in μB/f.u.: 1.8
Space group: Fm-3m
D(E_F) in states/eV/atom: 0.583


The energy of each structure relative to the most stable one, in meV per atom, is as follows: A 0; B 300.